Rb2LiMgNi after structural relaxation, computed with GGA-PBE.

extended XYZ file:
```
5
Lattice="6.525 0.000 0.000 0.000 6.525 0.000 0.000 0.000 4.953" Properties=species:S:1:pos:R:3 pbc="T T T"
Rb 0.000 3.262 0.000
Rb 3.262 0.000 0.000
Li 0.000 0.000 2.477
Mg 3.262 3.262 2.477
Ni 3.262 3.262 0.000
```

Computed properties:
The density of states at the Fermi level comes out at 0.71 states/eV per atom. As for the space group: P4/mmm (123). The calculation puts the total magnetization at 0.000 μB per formula unit. The calculation puts the total energy at -0.0655 hartree per atom. The value obtained for the density is 2.1 Mg/m³. The formation energy comes out at 0.4625 eV per atom.